An optimized crystal structure of KSbHI2. Source: Alexandria, functional GGA-PBE.

Computed properties:
Magnetization ... 4.318 μB per formula unit
Volume ... 328 Å³ per cell
Relative energy among the computed polymorphs ... 0.8909 eV/atom
Calculated total energy ... -1.6914 eV/atom

Unit cell a=6.685 b=6.685 c=7.350 alpha=90.00 beta=90.00 gamma=90.00
Space group P4/mmm (No. 123)
Inequivalent atoms, fractional coordinates:
1 K 0.000 0.000 0.000 [1 per cell]
2 Sb 0.000 0.000 0.500 [1 per cell]
3 H 0.500 0.500 0.500 [1 per cell]
4 I 0.000 0.500 0.000 [2 per cell]

***

An optimized crystal structure of KSb2HI. Source: Alexandria, functional GGA-PBE.

Computed properties:
Magnetization ... 0.000 μB per formula unit
Volume ... 159 Å³ per cell
Relative energy among the computed polymorphs ... 0.0000 eV/atom
Calculated total energy ... -2.8741 eV/atom

Unit cell a=4.540 b=4.540 c=7.720 alpha=90.00 beta=90.00 gamma=90.00
Space group P4/mmm (No. 123)
Inequivalent atoms, fractional coordinates:
1 K 0.000 0.000 0.000 [1 per cell]
2 Sb 0.000 0.500 0.500 [2 per cell]
3 H 0.500 0.500 0.500 [1 per cell]
4 I 0.500 0.500 0.000 [1 per cell]

***

An optimized crystal structure of KSbHI2. Source: Alexandria, functional GGA-PBE.

Computed properties:
Magnetization ... 0.000 μB per formula unit
Volume ... 146 Å³ per cell
Relative energy among the computed polymorphs ... 0.0000 eV/atom
Calculated total energy ... -2.5823 eV/atom

Unit cell a=6.024 b=6.024 c=4.022 alpha=90.00 beta=90.00 gamma=90.00
Space group P4/mmm (No. 123)
Inequivalent atoms, fractional coordinates:
1 K 0.000 0.000 0.000 [1 per cell]
2 Sb 0.500 0.500 0.000 [1 per cell]
3 H 0.500 0.500 0.500 [1 per cell]
4 I 0.000 0.500 0.500 [2 per cell]

***

An optimized crystal structure of K2H2SeI2. Source: Alexandria, functional GGA-PBE.

Computed properties:
Magnetization ... 0.000 μB per formula unit
Volume ... 231 Å³ per cell
Calculated total energy ... -2.8533 eV/atom

Unit cell a=4.671 b=7.193 c=7.250 alpha=78.46 beta=78.56 gamma=78.36
Space group P-1 (No. 2)
Inequivalent atoms, fractional coordinates:
1 K 0.000 0.247 0.256 [2 per cell]
2 H 0.478 0.351 0.851 [2 per cell]
3 Se 0.500 0.500 0.000 [1 per cell]
4 I 0.427 0.182 0.680 [2 per cell]